The following is a DFT calculation (PBE-GGA) of an optimized crystal structure of CaZrAl.

The value obtained for the relative energy among the computed polymorphs is 0.272 eV/f.u. The calculation puts the calculated volume at 300.30 Å³ per cell. Its total energy is -0.354 Ry per atom. The value obtained for the formation energy is -0.05 eV/atom. Its mass density is 3.50 g/cm3.

The structure belongs to space group Cm (No. 8); the cell edges are 11.579, 3.375 and 8.189 Å and the angles 90.00°, 110.24° and 90.00°. The inequivalent atoms are Ca at (0.000, 0.000, 0.000), Ca at (0.188, 0.500, 0.766), Zr at (0.299, 0.000, 0.175), Zr at (0.495, 0.500, 0.418), Al at (0.189, 0.500, 0.369) and Al at (0.367, 0.000, 0.605).



The following is a DFT calculation (PBE-GGA) of an optimized crystal structure of CaZr3Al.

The value obtained for the relative energy among the computed polymorphs is 0.000 eV/f.u. The calculation puts the calculated volume at 140.08 Å³ per cell. Its total energy is -0.422 Ry per atom. The value obtained for the formation energy is 0.54 eV/atom. Its mass density is 4.04 g/cm3.

The structure belongs to space group Pm-3m (No. 221); the cell edges are 5.194, 5.194 and 5.194 Å and the angles 90.00°, 90.00° and 90.00°. The inequivalent atoms are Ca at (0.000, 0.000, 0.000), Zr at (0.000, 0.500, 0.500) and Al at (0.500, 0.500, 0.500).



The following is a DFT calculation (PBE-GGA) of an optimized crystal structure of CaZrAl3.

The value obtained for the relative energy among the computed polymorphs is 0.000 eV/f.u. The calculation puts the calculated volume at 142.17 Å³ per cell. Its total energy is -0.292 Ry per atom. The value obtained for the formation energy is 0.39 eV/atom. Its mass density is 2.48 g/cm3.

The structure belongs to space group Pm-3m (No. 221); the cell edges are 5.219, 5.219 and 5.219 Å and the angles 90.00°, 90.00° and 90.00°. The inequivalent atoms are Ca at (0.000, 0.000, 0.000), Zr at (0.500, 0.500, 0.500) and Al at (0.000, 0.500, 0.500).



The following is a DFT calculation (PBE-GGA) of an optimized crystal structure of CaZrAl2.

The calculation puts the calculated volume at 86.70 Å³ per cell. Its total energy is -0.353 Ry per atom. The value obtained for the formation energy is -0.29 eV/atom. Its mass density is 3.55 g/cm3.

The structure belongs to space group P4/mmm (No. 123); the cell edges are 3.172, 3.172 and 8.618 Å and the angles 90.00°, 90.00° and 90.00°. The inequivalent atoms are Ca at (0.000, 0.000, 0.000), Zr at (0.000, 0.000, 0.500) and Al at (0.500, 0.500, 0.270).



The following is a DFT calculation (PBE-GGA) of an optimized crystal structure of CaZrAl2.

The calculation puts the calculated volume at 177.41 Å³ per cell. Its total energy is -0.334 Ry per atom. The value obtained for the formation energy is -0.03 eV/atom. Its mass density is 3.47 g/cm3.

The structure belongs to space group I-4m2 (No. 119); the cell edges are 4.222, 4.222 and 9.954 Å and the angles 90.00°, 90.00° and 90.00°. The inequivalent atoms are Ca at (0.000, 0.000, 0.000), Zr at (0.000, 0.500, 0.750), Al at (0.000, 0.000, 0.500) and Al at (0.000, 0.500, 0.250).



The following is a DFT calculation (PBE-GGA) of an optimized crystal structure of CaZr2Al2.

The value obtained for the relative energy among the computed polymorphs is 0.047 eV/f.u. The calculation puts the calculated volume at 225.46 Å³ per cell. Its total energy is -0.404 Ry per atom. The value obtained for the formation energy is -0.18 eV/atom. Its mass density is 4.07 g/cm3.

The structure belongs to space group P4/mbm (No. 127); the cell edges are 8.552, 8.552 and 3.083 Å and the angles 90.00°, 90.00° and 90.00°. The inequivalent atoms are Ca at (0.000, 0.000, 0.000), Zr at (0.123, 0.377, 0.000) and Al at (0.172, 0.672, 0.500).